# 1
This record from Alexandria via LeMat-Bulk describes crystalline TlBr4Cl at its relaxed geometry. The functional is GGA-PBE.

Results
Energy relative to the lowest polymorph listed for this composition = 435 meV per atom
D(E_F) = 9.96 states/eV/f.u.
Crystal system = cubic
Formation energy from raw total energies = 0.163 eV/atom

a = 8.8663 Å, b = 8.8663 Å, c = 8.8663 Å
α = 90.00°, β = 90.00°, γ = 90.00°
With the nearest neighbours (Å) after each atom.
Space group F-43m (No. 216)
Inequivalent atoms, fractional coordinates:
Tl (0.0000, 0.0000, 0.0000) (multiplicity 4)  12 Br 3.68, 4 Cl 3.84
Br (0.1245, 0.1245, 0.6245) (multiplicity 16)  6 Br 3.12-3.15
Cl (0.2500, 0.2500, 0.2500) (multiplicity 4)  12 Br 3.67, 4 Tl 3.84

# 2
This record from Alexandria via LeMat-Bulk describes crystalline Tl2BrCl at its relaxed geometry. The functional is GGA-PBE.

Results
Energy relative to the lowest polymorph listed for this composition = 112 meV per atom
D(E_F) = 0.00 states/eV/f.u.
Crystal system = orthorhombic
Formation energy from raw total energies = -0.826 eV/atom

a = 4.0750 Å, b = 5.1815 Å, c = 12.9025 Å
α = 90.00°, β = 90.00°, γ = 90.00°
With the nearest neighbours (Å) after each atom.
Space group Imm2 (No. 44)
Inequivalent atoms, fractional coordinates:
Tl (0.0000, 0.0000, 0.0000) (multiplicity 2)  4 Cl 3.30, 2 Br 3.48
Tl (0.0000, 0.5000, 0.2122) (multiplicity 2)  4 Br 3.30, 2 Cl 3.30
Br (0.0000, 0.5000, 0.7183) (multiplicity 2)  6 Tl 3.30-3.48
Cl (0.0000, 0.0000, 0.5112) (multiplicity 2)  6 Tl 3.30

# 3
This record from Alexandria via LeMat-Bulk describes crystalline TlBrCl2 at its relaxed geometry. The functional is GGA-PBE.

Results
Energy relative to the lowest polymorph listed for this composition = 288 meV per atom
D(E_F) = 3.16 states/eV/f.u.
Crystal system = orthorhombic
Formation energy from raw total energies = -0.308 eV/atom

a = 4.0536 Å, b = 4.0691 Å, c = 15.6191 Å
α = 90.00°, β = 90.00°, γ = 90.00°
With the nearest neighbours (Å) after each atom.
Space group Imm2 (No. 44)
Inequivalent atoms, fractional coordinates:
Tl (0.0000, 0.0000, 0.0000) (multiplicity 2)  4 Cl 3.00
Br (0.0000, 0.5000, 0.6958) (multiplicity 2)  4 Cl 2.87
Cl (0.0000, 0.0000, 0.4440) (multiplicity 2)  4 Tl 3.00
Cl (0.0000, 0.5000, 0.1955) (multiplicity 2)  4 Br 2.87